NpScVO6, relaxed, DFT PBE+U; total DFT energy (no corrections) = -161.02 eV/cell; magnetization = 3.000 μB/f.u.
1.0
5.3990 0.0000 0.0000
-2.6995 4.6757 0.0000
0.0000 0.0000 8.8212
Np Sc V O
2 2 2 12
direct
0.3333 0.6667 0.2500
0.6667 0.3333 0.7500
0.3333 0.6667 0.7500
0.6667 0.3333 0.2500
0.0000 0.0000 0.0000
0.0000 0.0000 0.5000
0.0068 0.3331 0.1282
0.0068 0.6737 0.3718
0.3263 0.3331 0.3718
0.3263 0.9932 0.1282
0.3331 0.0068 0.6282
0.3331 0.3263 0.8718
0.6669 0.6737 0.1282
0.6669 0.9932 0.3718
0.6737 0.0068 0.8718
0.6737 0.6669 0.6282
0.9932 0.3263 0.6282
0.9932 0.6669 0.8718